VASP calculation (PBE-GGA) on an optimized crystal structure of AgGe2Rh.

Cell and atoms, written as POSCAR:
```
AgGe2Rh
1.0
-0.534 0.355 2.963
1.236 -1.912 2.003
7.330 4.748 2.305
Ge Rh Ag
2 1 1
direct
0.096 0.096 0.711 Ge
0.904 0.904 0.289 Ge
0.500 0.500 0.500 Rh
0.000 0.000 0.000 Ag
```

## Properties
Formation enthalpy at 0 K   -10.6 kJ per mole of atoms
Space-group type   R-3m (166)
Mass density   8.4 g cm⁻³
Excess energy over the best structure of this formula in the dataset   0.0000 eV/atom



VASP calculation (PBE-GGA) on an optimized crystal structure of Ga3CuW.

Cell and atoms, written as POSCAR:
```
Ga3CuW
1.0
-2.164 3.923 -1.996
0.667 -1.907 -4.469
-4.351 -2.243 0.308
Cu Ga W
1 3 1
direct
0.500 0.500 0.500 Cu
0.000 0.500 0.000 Ga
0.000 0.000 0.500 Ga
0.500 0.000 0.000 Ga
0.000 0.000 0.000 W
```

## Properties
Formation enthalpy at 0 K   83.1 kJ per mole of atoms
Space-group type   Pm-3m (221)
Mass density   6.4 g cm⁻³
Excess energy over the best structure of this formula in the dataset   0.0000 eV/atom



VASP calculation (PBE-GGA) on an optimized crystal structure of Na2TaTiBe.

Cell and atoms, written as POSCAR:
```
Na2TaTiBe
1.0
4.785 0.000 0.000
0.000 4.579 0.000
0.000 0.000 4.785
Na Ti Be Ta
2 1 1 1
direct
0.000 0.000 0.500 Na
0.500 0.000 0.000 Na
0.000 0.000 0.000 Ti
0.000 0.500 0.000 Be
0.500 0.500 0.500 Ta
```

## Properties
Formation enthalpy at 0 K   192.9 kJ per mole of atoms
Space-group type   P4/mmm (123)
Mass density   4.5 g cm⁻³



V readings, ordered: 17.64 23.60 20.96 Å³/atom
Energy readings, ordered: -4.970 -4.365 -3.223 eV per atom